# PBE with a Hubbard U AcNp2WO8, optimized geometry
data_AcNp2WO8
_chemical_formula_sum 'Ac1 Np2 W1 O8'
_space_group_name_H-M_alt 'P 1 2/m 1'
_space_group_IT_number 10
_cell_length_a 5.1229
_cell_length_b 7.0621
_cell_length_c 5.1289
_cell_angle_alpha 90.00
_cell_angle_beta 91.28
_cell_angle_gamma 90.00
loop_
_space_group_symop_operation_xyz
'x,y,z'
'-x,-y,-z'
'-x,y,-z'
'x,-y,z'
loop_
_atom_site_label
_atom_site_type_symbol
_atom_site_fract_x
_atom_site_fract_y
_atom_site_fract_z
_atom_site_occupancy
Ac1 Ac 0.0000 0.0000 0.0000 1
Np1 Np 0.5000 0.2614 0.5000 1
W1 W 0.0000 0.5000 0.0000 1
O1 O 0.2027 0.2868 0.2042 1
O2 O 0.2870 0.5000 0.7140 1
O3 O 0.3311 0.0000 0.6709 1
# Electronic total energy   -9.188 eV per atom